Entry from Alexandria: an optimized crystal structure of Tl3BiTe2O9 (PBE).

Computed properties:
* energy relative to the elements, uncorrected: -0.840 eV per atom
* calculated volume: 228.2 Å³/cell
* crystal system: trigonal

```
data_Tl3BiTe2O9
_space_group_name_H-M_alt 'P 1'
_space_group_IT_number 1
_cell_length_a 5.9557
_cell_length_b 5.9557
_cell_length_c 7.4298
_cell_angle_alpha 90.00
_cell_angle_beta 90.00
_cell_angle_gamma 120.00
loop_
_space_group_symop_operation_xyz
'x,y,z'
loop_
_atom_site_label
_atom_site_type_symbol
_atom_site_fract_x
_atom_site_fract_y
_atom_site_fract_z
_atom_site_occupancy
Tl1 Tl 0.0000 0.0000 0.0000 1
Tl2 Tl 0.3333 0.6667 0.6717 1
Tl3 Tl 0.6667 0.3333 0.3283 1
Bi1 Bi 0.0000 0.0000 0.5000 1
Te1 Te 0.3333 0.6667 0.1634 1
Te2 Te 0.6667 0.3333 0.8366 1
O1 O 0.0000 0.5000 0.0000 1
O2 O 0.1762 0.3525 0.3052 1
O3 O 0.1762 0.8238 0.3052 1
O4 O 0.3525 0.1762 0.6948 1
O5 O 0.5000 0.0000 0.0000 1
O6 O 0.5000 0.5000 0.0000 1
O7 O 0.6475 0.8238 0.3052 1
O8 O 0.8238 0.1762 0.6948 1
O9 O 0.8238 0.6475 0.6948 1
```